one:
First-principles (GGA-PBEsol) data for crystalline Li3Ni4O8 at its relaxed geometry, as listed in the Alexandria database.

Structure (POSCAR):
```
Li3Ni4O8
1.0
4.9950 0.0000 -0.0185
0.0000 5.6052 0.0000
-1.7449 -2.8026 4.6900
O Ni Li
8 4 3
Cartesian
2.3351 1.4536 3.3745
0.9026 1.3484 1.3107
0.1101 2.8145 3.5347
3.0594 2.7912 1.1603
0.9149 4.2562 1.2971
0.1907 -0.0114 3.5113
2.3475 -1.4542 3.3609
3.1399 0.0118 1.1369
1.5879 2.8019 2.3152
1.6621 -0.0008 2.3563
2.4975 1.4106 -0.0092
2.4975 4.1943 -0.0092
4.1197 1.3996 2.3325
0.0000 0.0070 0.0000
-0.8696 4.2023 2.3391
```

Computed properties:
The volume is 131 Å³/cell. The symmetry is C2 (5).


two:
First-principles (GGA-PBEsol) data for crystalline Li3Ni4O8 at its relaxed geometry, as listed in the Alexandria database.

Structure (POSCAR):
```
Li3Ni4O8
1.0
5.5189 0.0105 -0.0155
-2.6872 4.9545 0.0224
-0.1445 -3.1134 4.5887
O Ni Li
8 4 3
Cartesian
0.0000 1.5353 1.0417
4.0043 -2.4054 3.5452
-0.0723 0.2864 3.5449
2.7594 1.5652 1.0506
1.2194 -2.4037 3.5427
2.6872 0.3162 3.5538
1.3700 -0.6975 1.0280
4.1549 -0.6992 1.0305
-1.3436 2.4772 0.0112
0.0000 0.0000 0.0000
1.3436 0.9258 2.2978
2.7594 0.0053 -0.0078
-0.0723 -1.5567 2.2944
-1.4159 0.9205 2.3055
1.4159 2.4825 0.0034
```

Computed properties:
The volume is 126 Å³/cell. The symmetry is C2/m (12).


Which is the most stable structure? one is the most stable.


one:
First-principles (GGA-PBEsol) data for crystalline Li2Ni3P4O14 at its relaxed geometry, as listed in the Alexandria database.

Structure (POSCAR):
```
Li2Ni3P4O14
1.0
-4.5601 3.7342 4.0978
-0.1799 -5.8304 5.1128
8.6888 1.8807 2.4503
O Ni P Li
28 6 8 4
Cartesian
4.0970 3.7773 4.5257
2.8956 1.7273 6.3126
-0.1480 -1.7625 8.4188
4.2839 -0.2107 5.8685
3.0682 -0.4629 2.0172
6.8781 -1.3781 5.9544
6.1148 2.1678 4.6444
-3.4897 3.3531 4.5944
5.3579 -2.2897 7.7024
4.2456 0.7713 8.2467
-1.4090 2.0742 3.9586
0.7921 2.2637 7.5995
7.4385 -3.5685 7.0665
4.0968 1.5470 3.2421
0.8806 0.2474 9.6438
-0.1481 -3.9927 7.1353
2.2085 -0.4672 7.3861
7.3972 -0.0228 3.6811
2.4866 -3.8463 6.0691
1.0532 -1.9428 5.3483
-2.9293 1.1626 5.7066
-0.3351 -0.0048 5.7925
1.7403 0.2517 4.2748
-3.4484 -0.1927 7.9799
3.1568 -2.4792 4.0614
-2.1659 -2.3832 7.0166
1.4622 3.6309 5.5919
-0.2967 -0.9868 3.4143
3.6091 -0.5012 3.9610
4.6394 -0.2242 10.1970
-0.0899 -2.9152 2.5564
4.3444 0.9404 1.2252
-0.6905 0.0087 1.4640
0.3397 0.2858 7.7000
0.5238 -0.5781 4.6699
3.4250 0.3627 6.9911
-2.3779 2.4514 5.1512
4.9406 2.7095 3.8366
1.9977 -3.1093 4.8480
-0.9918 -2.9249 7.8243
1.9511 2.8938 6.8130
6.3268 -2.6669 6.5098
2.0754 -1.4980 9.0959
6.1596 0.3349 5.4459
1.8735 1.2825 2.5650
-2.2108 -0.5504 6.2151
```

Computed properties:
The volume is 483 Å³/cell. The symmetry is P2_1/c (14).


two:
First-principles (GGA-PBEsol) data for crystalline Li2Ni3P4O14 at its relaxed geometry, as listed in the Alexandria database.

Structure (POSCAR):
```
Li2Ni3P4O14
1.0
5.1588 0.0080 -0.0461
1.9285 6.0281 0.0085
2.0393 1.8274 15.1866
P Ni O Li
8 6 28 4
Cartesian
2.8553 2.1161 12.0731
3.2072 3.1454 4.8180
5.8095 6.2725 14.1785
4.1641 5.7162 8.2342
5.9194 4.7182 10.3309
6.2713 5.7475 3.0759
3.3171 1.5910 0.9704
4.9625 2.1473 6.9147
5.5033 1.4876 10.1273
3.6233 6.3759 5.0217
3.2445 5.3649 12.3957
5.8821 2.4986 2.7533
2.8577 2.7666 9.0385
6.2689 5.0969 6.1105
0.4814 0.5306 3.2167
5.8240 2.7896 14.8598
3.7581 7.0376 8.9203
6.5833 4.4004 2.3972
5.5622 5.3102 8.8993
8.6452 7.3330 11.9323
5.9651 3.2605 6.7414
4.7852 5.2162 13.7298
4.7160 4.6433 11.2275
5.8307 7.4368 13.0558
2.5433 3.4631 12.7518
3.6717 2.1816 10.7766
4.5059 1.9129 8.3663
3.1615 4.6030 8.4075
4.4106 3.2202 3.9215
3.3026 5.0739 0.2891
2.0792 2.2255 4.3223
4.6207 5.9507 6.7827
3.2959 0.4268 2.0932
2.7053 4.5759 5.1090
7.2510 5.7356 14.1396
4.3414 2.6473 1.4191
7.0474 5.6381 10.8266
5.4549 5.6820 4.3723
6.4212 3.2876 10.0400
5.3685 0.8260 6.2287
1.8756 2.1280 1.0094
3.5644 2.5534 6.2496
5.5467 3.4872 13.0807
7.6422 3.6817 14.7732
3.5799 4.3764 2.0683
1.4844 4.1818 0.3758
```

Computed properties:
The volume is 472 Å³/cell. The symmetry is P-1 (2).


Which is the most stable structure? one is the most stable.


one:
First-principles (GGA-PBEsol) data for crystalline Li2NiP5O15 at its relaxed geometry, as listed in the Alexandria database.

Structure (POSCAR):
```
Li2NiP5O15
1.0
5.0803 0.0000 0.0547
0.0000 11.6262 0.0000
-0.6064 0.0000 11.2654
O Ni Li P
30 2 4 10
Cartesian
-0.0106 6.0574 3.7976
0.0279 10.3313 3.4410
3.3656 1.1148 0.3394
2.3760 8.3415 0.8020
4.3552 6.7852 0.6915
3.9282 1.1222 5.3934
2.2079 6.0605 1.9014
4.4449 5.5657 7.5614
1.2818 1.5246 6.2418
2.6971 11.0989 7.4210
0.3266 1.5163 10.6982
2.9264 6.7985 5.0581
-0.1665 8.3447 4.8851
4.6130 3.2846 6.4621
3.9888 11.0946 9.5756
4.1251 10.1016 0.6364
1.7519 0.5316 3.9156
1.0849 10.5039 10.9987
1.5119 4.8409 6.2968
4.4301 1.2895 7.8972
2.0705 3.2814 10.5452
0.8001 3.7298 8.4777
0.5223 10.5114 5.9448
3.6434 7.8964 2.8723
2.2649 1.2949 9.1011
2.2264 5.5688 9.4576
0.4602 0.5273 1.7610
0.0831 4.8277 10.6635
2.1931 10.3366 2.2371
3.1700 10.1099 5.0929
2.2260 0.0034 5.6684
5.0694 11.6227 0.0631
2.8276 6.0856 6.8547
3.8502 6.0764 10.1581
0.5906 5.5405 1.1947
1.6133 5.5498 4.4980
1.8342 1.7062 10.5916
1.1080 11.3246 2.8387
2.6174 9.9157 0.7475
3.1682 7.1383 1.5329
-0.2260 1.7105 6.3529
3.3450 0.3015 8.4988
1.2718 4.4841 9.8205
4.1152 7.1420 4.2151
4.6775 9.9199 4.9863
0.3248 4.4878 7.1382
```

Computed properties:
The volume is 666 Å³/cell. The symmetry is Pc (7).


two:
First-principles (GGA-PBEsol) data for crystalline Li2NiP5O15 at its relaxed geometry, as listed in the Alexandria database.

Structure (POSCAR):
```
Li2NiP5O15
1.0
-5.4525 1.8305 4.3003
-1.0062 -5.1089 -4.9457
6.9162 -7.1593 8.6991
O P Li Ni
30 10 4 2
Cartesian
-0.1415 -1.6860 2.8073
4.0060 -9.6539 5.7890
2.2959 -8.9585 1.3059
0.7356 -7.6768 -0.1977
4.1795 -6.6123 5.3625
-4.6575 0.0763 4.2247
4.3975 -5.7047 8.5181
-2.2108 -5.6858 3.7696
-0.1126 -7.6226 5.7830
0.9619 -7.5155 8.4682
3.3018 -5.4015 3.3258
1.8503 -7.0819 4.4492
-2.5487 -2.0336 2.0564
3.1995 -6.3346 10.6737
-1.2286 -5.9141 1.4828
-4.9892 -2.1065 1.2710
1.0809 -4.8722 -0.8007
-0.4113 -7.4337 3.2921
3.4419 -8.2691 8.2489
1.8715 -4.2887 9.0959
-3.5084 -4.1402 1.3039
-1.2652 -3.2446 5.2096
2.0766 -3.8999 1.8037
0.8102 -5.9759 11.1877
-1.9462 -0.3795 3.9567
3.9814 -7.8134 3.1710
0.1915 -5.0136 3.4674
1.5504 -9.7384 7.4890
-1.3975 0.1154 1.5573
2.0893 -6.4193 1.4418
-2.4580 -3.3050 6.0636
0.5329 -7.9874 4.4415
-0.8450 -5.9072 2.9101
2.0581 -7.6975 0.4655
-1.4786 -1.0386 2.6725
2.1390 -6.0063 11.8379
2.0144 -8.5525 8.5046
3.3751 -6.7964 4.1199
-3.8950 -2.8942 2.1086
3.5539 -10.8704 5.1024
-0.3499 -5.9691 -0.1687
0.1918 -3.2910 3.9930
0.7069 -5.8011 9.1742
4.4167 -8.0674 6.7480
3.7299 -9.4858 2.3516
-3.2447 -0.4179 5.3146
```

Computed properties:
The volume is 572 Å³/cell. The symmetry is Cc (9).


Which is the most stable structure? one is the most stable.


one:
First-principles (GGA-PBEsol) data for crystalline Li3NiP2O8 at its relaxed geometry, as listed in the Alexandria database.

Structure (POSCAR):
```
Li3NiP2O8
1.0
-3.0547 -0.7053 3.5983
2.2142 -0.7504 4.1607
-0.0725 6.0471 1.1642
Ni O P Li
1 8 2 3
Cartesian
-0.4203 -0.7278 3.8795
-0.6223 -0.9281 5.7567
-0.2554 3.0440 2.6375
-1.8976 3.9150 4.8565
-1.8090 0.7004 3.7685
0.9846 0.6765 4.0667
0.8960 3.8910 5.1547
-0.2907 5.5195 3.1665
-0.6576 1.5475 6.2857
-0.7305 0.1547 6.8574
-0.1825 4.4368 2.0659
-0.7426 3.1943 7.2140
-0.4565 2.2957 4.4616
-0.1705 1.3971 1.7092
```

Computed properties:
The volume is 130 Å³/cell. The symmetry is C2/m (12).


two:
First-principles (GGA-PBEsol) data for crystalline Li3NiP2O8 at its relaxed geometry, as listed in the Alexandria database.

Structure (POSCAR):
```
Li3NiP2O8
1.0
4.7143 -0.0495 0.0000
-0.3192 6.2792 0.0000
0.0000 0.0000 17.6588
O Li P Ni
32 12 8 4
Cartesian
0.2418 0.8524 11.8222
-0.0629 3.3556 12.1898
2.4538 0.1912 14.2984
0.4951 3.5362 1.1934
4.1533 5.3773 5.8367
1.9558 2.2625 2.9927
2.6279 5.0268 12.3466
0.4156 1.7221 7.7343
-0.2724 5.4216 14.0960
3.9000 2.6935 16.4654
1.5374 3.3267 10.0612
0.4303 1.9119 14.1416
4.6676 0.8081 3.5628
1.1196 4.8649 16.7729
1.7820 1.3928 16.5637
3.0119 0.3718 7.6360
2.6132 4.8369 1.0951
3.9796 4.5076 9.9245
2.4394 3.9672 14.6661
2.1508 3.9724 5.2666
2.8577 2.9030 7.5976
0.3410 6.0673 1.2318
1.9413 6.0385 3.3604
4.0542 0.1624 16.4270
1.7672 1.2029 5.3122
3.6363 1.7005 9.7154
1.3833 5.8579 10.0228
3.9648 4.3178 3.5172
2.2443 2.2573 12.3922
4.4580 2.8741 5.4690
0.7588 4.5292 7.9435
3.2756 1.3648 0.8859
1.0009 6.1789 6.7962
0.9844 1.3971 9.8896
0.8775 3.2152 15.6256
3.7876 0.8909 5.4093
3.1820 4.5120 16.5986
3.1243 2.1744 14.2387
3.4107 4.8326 7.7692
1.2708 4.0553 3.4201
0.6076 5.3388 12.2495
3.5177 3.0145 2.0332
1.2132 1.7177 1.0602
3.3942 0.0508 10.8626
3.3123 1.4055 16.9972
1.0828 4.8242 0.6616
1.4963 1.0601 3.7852
0.7956 4.5698 9.4910
2.8989 5.1696 13.8736
3.6938 4.1750 5.0442
0.7013 2.0547 12.6146
3.5996 1.6599 8.1678
3.1044 3.3434 11.1159
0.9068 0.2286 15.3723
3.4883 6.0011 2.2865
1.2907 2.8862 6.5429
```

Computed properties:
The volume is 522 Å³/cell. The symmetry is P2_1/c (14).


Which is the most stable structure? two is the most stable.


one:
First-principles (GGA-PBEsol) data for crystalline Li2V3NiO8 at its relaxed geometry, as listed in the Alexandria database.

Structure (POSCAR):
```
Li2V3NiO8
1.0
-0.3347 5.1839 -2.2158
-4.0183 -1.8308 3.5208
4.9200 3.4946 7.4325
O Li V Ni
16 4 6 2
Cartesian
-0.7750 1.9390 4.6533
3.0122 3.3617 7.4123
1.0008 6.4350 4.4889
0.9845 5.4016 1.6292
-3.2359 1.3044 3.5396
2.9129 6.0245 6.4574
2.9473 4.9361 3.9052
-1.0587 4.4689 3.4202
-1.2898 -0.1952 2.9564
0.9405 0.6680 1.4208
3.4005 2.4153 5.1371
-1.4390 2.1225 1.9654
1.1561 2.7645 2.7555
1.1509 4.1171 5.4794
0.9674 2.4319 9.2030
0.7986 5.0685 8.0751
0.0263 0.0187 0.0397
2.4863 1.7660 3.7560
-1.0352 3.2203 0.4931
0.1969 2.6293 6.1215
0.9912 5.8408 6.3053
2.8944 6.6987 4.6422
-2.1195 2.8543 3.6025
3.0453 4.2500 5.6936
-1.9541 0.4030 4.6456
-0.0591 1.2757 2.9808
-2.7445 0.5401 1.6780
0.9434 4.6256 3.4820
```

Computed properties:
The volume is 264 Å³/cell. The symmetry is P6_3mc (186).


two:
First-principles (GGA-PBEsol) data for crystalline Li2V3NiO8 at its relaxed geometry, as listed in the Alexandria database.

Structure (POSCAR):
```
Li2V3NiO8
1.0
-2.4622 -1.6620 2.5178
5.4881 -2.7319 0.5523
0.2723 5.1289 3.6518
Li V O Ni
2 3 8 1
Cartesian
2.6753 -0.5176 5.2860
0.6073 1.3930 1.5134
3.3631 -1.3088 2.4249
-0.1055 2.0231 4.2435
0.6857 -0.8653 3.1107
1.1382 2.7253 2.9120
2.1617 -1.9265 3.8536
1.1753 0.5629 4.5322
0.1074 -1.9418 1.8346
3.9641 0.1202 3.9559
-0.6308 0.5652 2.7675
2.0156 0.0958 2.0343
3.0133 -2.4666 1.3186
2.6443 1.5579 3.6143
```

Computed properties:
The volume is 137 Å³/cell. The symmetry is Cm (8).


Which is the most stable structure? one is the most stable.